Arrangement i

## TmZrTlTe3 (GGA-PBE)

Data for a relaxed structure of TmZrTlTe3.

abc: 7.9503 7.9503 11.6628
angles: 90.00 90.00 150.12
Last column: nearest neighbours and their distance in Å.
Sites, in units of the cell vectors:
1 Tm 0.0000 0.0000 0.5000  6 Te 3.03-3.05
2 Zr 0.4247 0.5753 0.2500  4 Te 2.84-2.91
3 Te 0.6440 0.3560 0.9757  1 Zr 2.84, 2 Tm 3.03
4 Zr 0.5753 0.4247 0.7500  4 Te 2.84-2.91
5 Te 0.0587 0.9413 0.2500  2 Zr 2.91, 2 Tm 3.05
6 Te 0.6440 0.3560 0.5243  1 Zr 2.84, 2 Tm 3.03
7 Tm 0.0000 0.0000 0.0000  6 Te 3.03-3.05
8 Tl 0.2403 0.7597 0.7500  2 Zr 3.26, 4 Te 3.65
9 Tl 0.7597 0.2403 0.2500  2 Zr 3.26, 4 Te 3.65
10 Te 0.3560 0.6440 0.0243  1 Zr 2.84, 2 Tm 3.03
11 Te 0.9413 0.0587 0.7500  2 Zr 2.91, 2 Tm 3.05
12 Te 0.3560 0.6440 0.4757  1 Zr 2.84, 2 Tm 3.03

***

Arrangement ii

## TmZrTlTe3 (GGA-PBE)

Data for a relaxed structure of TmZrTlTe3.

abc: 7.8969 7.8969 11.4735
angles: 90.00 90.00 149.82
Last column: nearest neighbours and their distance in Å.
Sites, in units of the cell vectors:
1 Tm 0.9305 0.0695 0.2500  4 Te 2.90-2.93
2 Te 0.1410 0.8590 0.9843  1 Tm 2.90, 2 Zr 2.98
3 Zr 0.5000 0.5000 0.5000  6 Te 2.98-3.04
4 Zr 0.5000 0.5000 0.0000  6 Te 2.98-3.04
5 Tl 0.7469 0.2531 0.7500  2 Tm 3.40, 8 Te 3.49-3.75
6 Te 0.8590 0.1410 0.4843  1 Tm 2.90, 2 Zr 2.98
7 Te 0.5670 0.4330 0.2500  2 Tm 2.93, 2 Zr 3.04
8 Tm 0.0695 0.9305 0.7500  4 Te 2.90-2.93
9 Tl 0.2531 0.7469 0.2500  2 Tm 3.40, 8 Te 3.49-3.75
10 Te 0.1410 0.8590 0.5157  1 Tm 2.90, 2 Zr 2.98
11 Te 0.8590 0.1410 0.0157  1 Tm 2.90, 2 Zr 2.98
12 Te 0.4330 0.5670 0.7500  2 Tm 2.93, 2 Zr 3.04

***

Which structure is the most stable? The one labeled arrangement i.

***

Arrangement i

## TmTeW (GGA-PBE)

Data for a relaxed structure of TmTeW.

abc: 4.6843 4.6843 4.6843
angles: 60.00 60.00 60.00
Last column: nearest neighbours and their distance in Å.
Sites, in units of the cell vectors:
1 Te 0.0000 0.0000 0.0000  4 W 2.87, 4 Tm 2.87
2 W 0.7500 0.7500 0.7500  4 Te 2.87
3 Tm 0.2500 0.2500 0.2500  4 Te 2.87

***

Arrangement ii

## TmTeW (GGA-PBE)

Data for a relaxed structure of TmTeW.

abc: 4.8555 4.8555 4.8555
angles: 60.00 60.00 60.00
Last column: nearest neighbours and their distance in Å.
Sites, in units of the cell vectors:
1 Tm 0.0000 0.0000 0.0000  4 W 2.97, 4 Te 2.97
2 Te 0.2500 0.2500 0.2500  4 Tm 2.97
3 W 0.7500 0.7500 0.7500  4 Tm 2.97

***

Which structure is the most stable? The one labeled arrangement i.

***

Arrangement i

## TmZnTe (GGA-PBE)

Data for a relaxed structure of TmZnTe.

abc: 4.9621 4.9621 4.9621
angles: 60.00 60.00 60.00
Last column: nearest neighbours and their distance in Å.
Sites, in units of the cell vectors:
1 Zn 0.7500 0.7500 0.7500  4 Tm 3.04
2 Te 0.2500 0.2500 0.2500  4 Tm 3.04
3 Tm 0.0000 0.0000 0.0000  4 Te 3.04, 4 Zn 3.04

***

Arrangement ii

## TmZnTe (GGA-PBE)

Data for a relaxed structure of TmZnTe.

abc: 4.8375 4.8375 4.8375
angles: 60.00 60.00 60.00
Last column: nearest neighbours and their distance in Å.
Sites, in units of the cell vectors:
1 Tm 0.7500 0.7500 0.7500  4 Zn 2.96
2 Te 0.2500 0.2500 0.2500  4 Zn 2.96
3 Zn 0.0000 0.0000 0.0000  4 Tm 2.96, 4 Te 2.96

***

Which structure is the most stable? The one labeled arrangement i.

***

Arrangement i

## U3Te5 (GGA-PBE)

Data for a relaxed structure of U3Te5.

abc: 8.2975 8.7620 13.1966
angles: 90.00 90.01 90.00
Last column: nearest neighbours and their distance in Å.
Sites, in units of the cell vectors:
1 Te 0.9647 0.7500 0.0007  5 U 3.16-3.29
2 Te 0.1694 0.5497 0.4002  4 U 2.99-3.17
3 U 0.5835 0.7500 0.0049  7 Te 2.99-3.16
4 Te 0.6694 0.0497 0.0998  4 U 2.99-3.17
5 Te 0.6726 0.2500 0.8193  5 U 3.15-3.37
6 U 0.9166 0.7500 0.5050  7 Te 2.99-3.16
7 Te 0.3274 0.7500 0.1807  5 U 3.15-3.37
8 U 0.9776 0.5033 0.8189  8 Te 3.15-3.37
9 Te 0.1694 0.9503 0.4002  4 U 2.99-3.17
10 U 0.9776 0.9967 0.8189  8 Te 3.15-3.37
11 Te 0.8306 0.4503 0.5998  4 U 2.99-3.17
12 Te 0.0353 0.2500 0.9993  5 U 3.16-3.29
13 Te 0.2009 0.2500 0.7189  5 U 3.11-3.19
14 Te 0.3306 0.9503 0.9002  4 U 2.99-3.17
15 U 0.0224 0.0033 0.1811  8 Te 3.15-3.37
16 Te 0.7991 0.7500 0.2811  5 U 3.11-3.19
17 Te 0.1727 0.7500 0.6807  5 U 3.14-3.37
18 Te 0.4646 0.2500 0.4993  5 U 3.16-3.29
19 Te 0.7010 0.7500 0.7811  5 U 3.11-3.19
20 Te 0.6694 0.4503 0.0998  4 U 2.99-3.17
21 U 0.4776 0.4967 0.6811  8 Te 3.15-3.37
22 U 0.0834 0.2500 0.4950  7 Te 2.99-3.16
23 Te 0.8306 0.0497 0.5998  4 U 2.99-3.17
24 Te 0.3306 0.5497 0.9002  4 U 2.99-3.17
25 U 0.5224 0.9967 0.3189  8 Te 3.15-3.37
26 U 0.0224 0.4967 0.1811  8 Te 3.15-3.37
27 U 0.4776 0.0033 0.6811  8 Te 3.15-3.37
28 U 0.5224 0.5033 0.3189  8 Te 3.15-3.37
29 Te 0.2990 0.2500 0.2189  5 U 3.11-3.19
30 Te 0.8273 0.2500 0.3193  5 U 3.14-3.37
31 Te 0.5354 0.7500 0.5007  5 U 3.16-3.29
32 U 0.4165 0.2500 0.9951  7 Te 2.99-3.16

***

Arrangement ii

## U3Te5 (GGA-PBE)

Data for a relaxed structure of U3Te5.

abc: 4.1426 14.0788 16.1398
angles: 90.00 90.00 90.00
Last column: nearest neighbours and their distance in Å.
Sites, in units of the cell vectors:
1 Te 0.7500 0.1105 0.4753  5 U 3.22-3.27
2 U 0.7500 0.7495 0.6191  8 Te 3.10-3.26
3 Te 0.2500 0.7789 0.2642  5 U 3.15-3.35
4 Te 0.7500 0.0814 0.9252  5 U 3.13-3.46
5 Te 0.7500 0.2789 0.2358  5 U 3.15-3.35
6 U 0.2500 0.9320 0.8605  7 Te 3.03-3.35
7 Te 0.7500 0.5465 0.2146  5 U 3.15-3.26
8 Te 0.2500 0.7211 0.7642  5 U 3.15-3.35
9 Te 0.7500 0.3895 0.9753  5 U 3.22-3.27
10 Te 0.2500 0.0465 0.2854  5 U 3.15-3.26
11 Te 0.2500 0.4535 0.7854  5 U 3.15-3.26
12 U 0.7500 0.7505 0.1191  8 Te 3.10-3.26
13 Te 0.7500 0.2211 0.7358  5 U 3.15-3.35
14 U 0.2500 0.4099 0.1272  8 Te 3.08-3.28
15 U 0.7500 0.0680 0.1395  7 Te 3.03-3.35
16 Te 0.2500 0.8895 0.5247  5 U 3.22-3.27
17 U 0.2500 0.5680 0.3605  7 Te 3.03-3.35
18 U 0.2500 0.2495 0.8809  8 Te 3.10-3.26
19 Te 0.7500 0.9535 0.7146  5 U 3.15-3.26
20 U 0.2500 0.0901 0.6272  8 Te 3.08-3.28
21 Te 0.2500 0.5814 0.5748  5 U 3.13-3.46
22 U 0.7500 0.4320 0.6395  7 Te 3.03-3.35
23 Te 0.7500 0.7980 0.9315  4 U 3.03-3.10
24 Te 0.7500 0.7020 0.4315  4 U 3.03-3.10
25 U 0.7500 0.9099 0.3728  8 Te 3.08-3.28
26 U 0.7500 0.5901 0.8728  8 Te 3.08-3.28
27 Te 0.2500 0.2020 0.0685  4 U 3.03-3.10
28 U 0.2500 0.2505 0.3809  8 Te 3.10-3.26
29 Te 0.2500 0.6105 0.0247  5 U 3.22-3.27
30 Te 0.2500 0.2980 0.5685  4 U 3.03-3.10
31 Te 0.7500 0.4186 0.4252  5 U 3.13-3.46
32 Te 0.2500 0.9186 0.0748  5 U 3.13-3.46

***

Which structure is the most stable? The one labeled arrangement ii.

***

Arrangement i

## TeW (GGA-PBE)

Data for a relaxed structure of TeW.

abc: 3.3174 3.3174 4.1175
angles: 90.00 90.00 120.00
Last column: nearest neighbours and their distance in Å.
Sites, in units of the cell vectors:
1 Te 0.6667 0.3333 0.7500  6 W 2.81
2 W 0.3333 0.6667 0.2500  6 Te 2.81

***

Arrangement ii

## TeW (GGA-PBE)

Data for a relaxed structure of TeW.

abc: 4.3239 4.3239 4.3239
angles: 60.00 60.00 60.00
Last column: nearest neighbours and their distance in Å.
Sites, in units of the cell vectors:
1 Te 0.0000 0.0000 0.0000  4 W 2.65
2 W 0.2500 0.2500 0.2500  4 Te 2.65

***

Arrangement iii

## TeW (GGA-PBE)

Data for a relaxed structure of TeW.

abc: 3.9990 3.9990 3.9990
angles: 60.00 60.00 60.00
Last column: nearest neighbours and their distance in Å.
Sites, in units of the cell vectors:
1 W 0.5000 0.5000 0.5000  6 Te 2.83
2 Te 0.0000 0.0000 0.0000  6 W 2.83

***

Which structure is the most stable? The one labeled arrangement i.

***

Arrangement i

## YTeW (GGA-PBE)

Data for a relaxed structure of YTeW.

abc: 4.7227 4.7227 4.7227
angles: 60.00 60.00 60.00
Last column: nearest neighbours and their distance in Å.
Sites, in units of the cell vectors:
1 Y 0.7500 0.7500 0.7500  4 W 2.89
2 Te 0.2500 0.2500 0.2500  4 W 2.89
3 W 0.0000 0.0000 0.0000  4 Y 2.89, 4 Te 2.89

***

Arrangement ii

## YTeW (GGA-PBE)

Data for a relaxed structure of YTeW.

abc: 4.9340 4.9340 4.9340
angles: 60.00 60.00 60.00
Last column: nearest neighbours and their distance in Å.
Sites, in units of the cell vectors:
1 Y 0.2500 0.2500 0.2500  4 W 3.02, 4 Te 3.02
2 Te 0.5000 0.5000 0.5000  4 Y 3.02
3 W 0.0000 0.0000 0.0000  4 Y 3.02

***

Which structure is the most stable? The one labeled arrangement i.